1.
# Zr2SiSb (meta-GGA SCAN, PBEsol geometry)
data_Zr2SiSb
_chemical_formula_sum 'Zr2 Si1 Sb1'
_cell_length_a 3.950
_cell_length_b 3.999
_cell_length_c 5.048
_cell_angle_alpha 90.00
_cell_angle_beta 90.00
_cell_angle_gamma 90.00
_space_group_name_H-M_alt 'P 1'
_space_group_IT_number 1
loop_
_space_group_symop_operation_xyz
'x,y,z'
loop_
_atom_site_label
_atom_site_type_symbol
_atom_site_fract_x
_atom_site_fract_y
_atom_site_fract_z
Zr1 Zr 0.000 0.000 0.000
Zr2 Zr 0.000 0.500 0.500
Si1 Si 0.500 0.000 0.500
Sb1 Sb 0.500 0.500 0.000
# Offset from the most stable computed form: 54 meV/atom
# Calculated volume: 79.7 Å³/cell
# Total magnetic moment: 0.000 Bohr magnetons per cell
# Energy: -110.78 eV per cell
# Energy relative to the elements, uncorrected: -0.528 eV/atom

---

2.
# Cu2PRu (meta-GGA SCAN, PBEsol geometry)
data_Cu2PRu
_chemical_formula_sum 'Cu2 P1 Ru1'
_cell_length_a 3.481
_cell_length_b 3.481
_cell_length_c 3.937
_cell_angle_alpha 90.00
_cell_angle_beta 90.00
_cell_angle_gamma 90.00
_space_group_name_H-M_alt 'P 1'
_space_group_IT_number 1
loop_
_space_group_symop_operation_xyz
'x,y,z'
loop_
_atom_site_label
_atom_site_type_symbol
_atom_site_fract_x
_atom_site_fract_y
_atom_site_fract_z
Cu1 Cu 0.000 0.500 0.000
Cu2 Cu 0.500 0.000 0.000
P1 P 0.000 0.000 0.500
Ru1 Ru 0.500 0.500 0.500
# Calculated volume: 47.7 Å³/cell
# Total magnetic moment: 0.000 Bohr magnetons per cell
# Energy: -75.39 eV per cell

---

3.
# TlIr2W (meta-GGA SCAN, PBEsol geometry)
data_TlIr2W
_chemical_formula_sum 'Tl1 Ir2 W1'
_cell_length_a 4.904
_cell_length_b 4.904
_cell_length_c 4.868
_cell_angle_alpha 99.51
_cell_angle_beta 99.51
_cell_angle_gamma 33.92
_space_group_name_H-M_alt 'P 1'
_space_group_IT_number 1
loop_
_space_group_symop_operation_xyz
'x,y,z'
loop_
_atom_site_label
_atom_site_type_symbol
_atom_site_fract_x
_atom_site_fract_y
_atom_site_fract_z
Tl1 Tl 0.000 0.000 0.000
Ir1 Ir 0.498 0.498 0.506
Ir2 Ir 0.754 0.754 0.216
W1 W 0.237 0.237 0.685
# Offset from the most stable computed form: 0 meV/atom
# Calculated volume: 64.3 Å³/cell
# Total magnetic moment: 0.000 Bohr magnetons per cell
# Energy: -282.54 eV per cell

---

4.
# Ca2YP (meta-GGA SCAN, PBEsol geometry)
data_Ca2YP
_chemical_formula_sum 'Ca2 Y1 P1'
_cell_length_a 5.183
_cell_length_b 5.183
_cell_length_c 5.183
_cell_angle_alpha 60.00
_cell_angle_beta 60.00
_cell_angle_gamma 60.00
_space_group_name_H-M_alt 'P 1'
_space_group_IT_number 1
loop_
_space_group_symop_operation_xyz
'x,y,z'
loop_
_atom_site_label
_atom_site_type_symbol
_atom_site_fract_x
_atom_site_fract_y
_atom_site_fract_z
Ca1 Ca 0.000 0.000 0.000
Ca2 Ca 0.250 0.250 0.250
Y1 Y 0.500 0.500 0.500
P1 P 0.750 0.750 0.750
# Calculated volume: 98.5 Å³/cell
# Total magnetic moment: 0.004 Bohr magnetons per cell
# Energy: -57.50 eV per cell

---

5.
# TiReC2 (meta-GGA SCAN, PBEsol geometry)
data_TiReC2
_chemical_formula_sum 'Ti2 Re2 C4'
_cell_length_a 5.732
_cell_length_b 5.732
_cell_length_c 5.732
_cell_angle_alpha 132.71
_cell_angle_beta 132.71
_cell_angle_gamma 69.11
_space_group_name_H-M_alt 'P 1'
_space_group_IT_number 1
loop_
_space_group_symop_operation_xyz
'x,y,z'
loop_
_atom_site_label
_atom_site_type_symbol
_atom_site_fract_x
_atom_site_fract_y
_atom_site_fract_z
Ti1 Ti 0.000 0.000 0.000
Ti2 Ti 0.750 0.250 0.500
Re1 Re 0.250 0.750 0.500
Re2 Re 0.500 0.500 0.000
C1 C 0.143 0.625 0.018
C2 C 0.375 0.393 0.518
C3 C 0.607 0.125 0.982
C4 C 0.875 0.857 0.482
# Calculated volume: 99.8 Å³/cell
# Total magnetic moment: 0.000 Bohr magnetons per cell
# Energy: -213.33 eV per cell

---

6.
# CuAsPt (meta-GGA SCAN, PBEsol geometry)
data_CuAsPt
_chemical_formula_sum 'Cu1 As1 Pt1'
_cell_length_a 4.292
_cell_length_b 4.292
_cell_length_c 2.781
_cell_angle_alpha 90.00
_cell_angle_beta 90.00
_cell_angle_gamma 120.00
_space_group_name_H-M_alt 'P 1'
_space_group_IT_number 1
loop_
_space_group_symop_operation_xyz
'x,y,z'
loop_
_atom_site_label
_atom_site_type_symbol
_atom_site_fract_x
_atom_site_fract_y
_atom_site_fract_z
Cu1 Cu 0.000 0.000 0.000
As1 As 0.667 0.333 0.500
Pt1 Pt 0.333 0.667 0.500
# Offset from the most stable computed form: 41 meV/atom
# Calculated volume: 44.4 Å³/cell
# Total magnetic moment: 0.000 Bohr magnetons per cell
# Energy: -105.87 eV per cell

---

7.
# K2TcBr (meta-GGA SCAN, PBEsol geometry)
data_K2TcBr
_chemical_formula_sum 'K2 Tc1 Br1'
_cell_length_a 5.927
_cell_length_b 5.927
_cell_length_c 3.434
_cell_angle_alpha 90.00
_cell_angle_beta 90.00
_cell_angle_gamma 100.12
_space_group_name_H-M_alt 'P 1'
_space_group_IT_number 1
loop_
_space_group_symop_operation_xyz
'x,y,z'
loop_
_atom_site_label
_atom_site_type_symbol
_atom_site_fract_x
_atom_site_fract_y
_atom_site_fract_z
K1 K 0.000 0.500 0.000
K2 K 0.500 0.000 0.000
Tc1 Tc 0.000 0.000 0.500
Br1 Br 0.500 0.500 0.500
# Offset from the most stable computed form: 75 meV/atom
# Calculated volume: 118.8 Å³/cell
# Total magnetic moment: 3.799 Bohr magnetons per cell
# Energy: -70.04 eV per cell
# Energy relative to the elements, uncorrected: 0.284 eV/atom

---

8.
# Mn2TlFe (meta-GGA SCAN, PBEsol geometry)
data_Mn2TlFe
_chemical_formula_sum 'Mn2 Tl1 Fe1'
_cell_length_a 4.758
_cell_length_b 4.758
_cell_length_c 4.758
_cell_angle_alpha 138.14
_cell_angle_beta 128.25
_cell_angle_gamma 68.66
_space_group_name_H-M_alt 'P 1'
_space_group_IT_number 1
loop_
_space_group_symop_operation_xyz
'x,y,z'
loop_
_atom_site_label
_atom_site_type_symbol
_atom_site_fract_x
_atom_site_fract_y
_atom_site_fract_z
Mn1 Mn 0.233 0.233 0.000
Mn2 Mn 0.767 0.767 0.000
Tl1 Tl 0.500 0.000 0.500
Fe1 Fe 0.000 0.500 0.500
# Offset from the most stable computed form: 92 meV/atom
# Calculated volume: 55.5 Å³/cell
# Total magnetic moment: 9.364 Bohr magnetons per cell
# Energy: -125.92 eV per cell

---

9.
# CaZn2Ni (meta-GGA SCAN, PBEsol geometry)
data_CaZn2Ni
_chemical_formula_sum 'Ca1 Zn2 Ni1'
_cell_length_a 5.500
_cell_length_b 5.500
_cell_length_c 5.500
_cell_angle_alpha 44.57
_cell_angle_beta 44.57
_cell_angle_gamma 44.57
_space_group_name_H-M_alt 'P 1'
_space_group_IT_number 1
loop_
_space_group_symop_operation_xyz
'x,y,z'
loop_
_atom_site_label
_atom_site_type_symbol
_atom_site_fract_x
_atom_site_fract_y
_atom_site_fract_z
Ca1 Ca 0.000 0.000 0.000
Zn1 Zn 0.519 0.519 0.519
Zn2 Zn 0.806 0.806 0.806
Ni1 Ni 0.189 0.189 0.189
# Calculated volume: 74.5 Å³/cell
# Total magnetic moment: 0.000 Bohr magnetons per cell
# Energy: -53.93 eV per cell

---

10.
# SrAsOs2 (meta-GGA SCAN, PBEsol geometry)
data_SrAsOs2
_chemical_formula_sum 'Sr1 As1 Os2'
_cell_length_a 8.861
_cell_length_b 8.861
_cell_length_c 8.861
_cell_angle_alpha 19.97
_cell_angle_beta 19.97
_cell_angle_gamma 19.97
_space_group_name_H-M_alt 'P 1'
_space_group_IT_number 1
loop_
_space_group_symop_operation_xyz
'x,y,z'
loop_
_atom_site_label
_atom_site_type_symbol
_atom_site_fract_x
_atom_site_fract_y
_atom_site_fract_z
Sr1 Sr 0.000 0.000 0.000
As1 As 0.500 0.500 0.500
Os1 Os 0.234 0.234 0.234
Os2 Os 0.766 0.766 0.766
# Calculated volume: 71.0 Å³/cell
# Total magnetic moment: 0.000 Bohr magnetons per cell
# Energy: -182.97 eV per cell

---

11.
# BaLi2Ca (meta-GGA SCAN, PBEsol geometry)
data_BaLi2Ca
_chemical_formula_sum 'Ba1 Li2 Ca1'
_cell_length_a 6.636
_cell_length_b 6.636
_cell_length_c 6.077
_cell_angle_alpha 109.49
_cell_angle_beta 109.49
_cell_angle_gamma 33.32
_space_group_name_H-M_alt 'P 1'
_space_group_IT_number 1
loop_
_space_group_symop_operation_xyz
'x,y,z'
loop_
_atom_site_label
_atom_site_type_symbol
_atom_site_fract_x
_atom_site_fract_y
_atom_site_fract_z
Ba1 Ba 0.000 0.000 0.000
Li1 Li 0.447 0.447 0.466
Li2 Li 0.763 0.763 0.206
Ca1 Ca 0.205 0.205 0.651
# Offset from the most stable computed form: 29 meV/atom
# Calculated volume: 137.8 Å³/cell
# Total magnetic moment: 0.018 Bohr magnetons per cell
# Energy: -53.79 eV per cell

---

12.
# LaNbAg2H (meta-GGA SCAN, PBEsol geometry)
data_LaNbAg2H
_chemical_formula_sum 'La1 Nb1 Ag2 H1'
_cell_length_a 5.087
_cell_length_b 5.087
_cell_length_c 5.362
_cell_angle_alpha 90.00
_cell_angle_beta 90.00
_cell_angle_gamma 90.00
_space_group_name_H-M_alt 'P 1'
_space_group_IT_number 1
loop_
_space_group_symop_operation_xyz
'x,y,z'
loop_
_atom_site_label
_atom_site_type_symbol
_atom_site_fract_x
_atom_site_fract_y
_atom_site_fract_z
La1 La 0.000 0.000 0.000
Nb1 Nb 0.000 0.000 0.500
Ag1 Ag 0.000 0.500 0.500
Ag2 Ag 0.500 0.000 0.500
H1 H 0.500 0.500 0.000
# Calculated volume: 138.8 Å³/cell
# Total magnetic moment: 0.000 Bohr magnetons per cell
# Energy: -135.92 eV per cell

---

13.
# TiCdFeRh2 (meta-GGA SCAN, PBEsol geometry)
data_TiCdFeRh2
_chemical_formula_sum 'Ti1 Cd1 Fe1 Rh2'
_cell_length_a 4.378
_cell_length_b 4.378
_cell_length_c 5.006
_cell_angle_alpha 90.00
_cell_angle_beta 90.00
_cell_angle_gamma 90.00
_space_group_name_H-M_alt 'P 1'
_space_group_IT_number 1
loop_
_space_group_symop_operation_xyz
'x,y,z'
loop_
_atom_site_label
_atom_site_type_symbol
_atom_site_fract_x
_atom_site_fract_y
_atom_site_fract_z
Ti1 Ti 0.000 0.000 0.000
Cd1 Cd 0.000 0.000 0.500
Fe1 Fe 0.500 0.500 0.500
Rh1 Rh 0.000 0.500 0.000
Rh2 Rh 0.500 0.000 0.000
# Calculated volume: 95.9 Å³/cell
# Total magnetic moment: 3.497 Bohr magnetons per cell
# Energy: -127.64 eV per cell